# SmNpMn2O8 | the Alexandria database | PBE+U | relaxed
data_SmNpMn2O8
_chemical_formula_sum 'Sm1 Np1 Mn2 O8'
_space_group_name_H-M_alt 'P 1'
_space_group_IT_number 1
_space_group_name_Hall 'P 1'
_cell_length_a 5.9997
_cell_length_b 5.9997
_cell_length_c 5.9997
_cell_angle_alpha 109.11
_cell_angle_beta 109.11
_cell_angle_gamma 110.19
loop_
_atom_site_label
_atom_site_type_symbol
_atom_site_fract_x
_atom_site_fract_y
_atom_site_fract_z
Sm1 Sm 0.0000 0.0000 0.0000
Np1 Np 0.2500 0.7500 0.5000
Mn1 Mn 0.7500 0.2500 0.5000
Mn2 Mn 0.5000 0.5000 0.0000
O1 O 0.3854 0.0595 0.3259
O2 O 0.2981 0.5113 0.2132
O3 O 0.2981 0.0850 0.7868
O4 O 0.7336 0.0595 0.6741
O5 O 0.9150 0.7019 0.2132
O6 O 0.9405 0.2664 0.3259
O7 O 0.9405 0.6146 0.6741
O8 O 0.4887 0.7019 0.7868
# total DFT energy (no corrections): -0.6032 Ry/atom
# total magnetization: 8.0 μB per formula unit

***

# SmNpMnO6 | the Alexandria database | PBE+U | relaxed
data_SmNpMnO6
_chemical_formula_sum 'Sm2 Np2 Mn2 O12'
_space_group_name_H-M_alt 'P 1'
_space_group_IT_number 1
_space_group_name_Hall 'P 1'
_cell_length_a 5.8096
_cell_length_b 5.8096
_cell_length_c 8.8725
_cell_angle_alpha 90.00
_cell_angle_beta 90.00
_cell_angle_gamma 120.00
loop_
_atom_site_label
_atom_site_type_symbol
_atom_site_fract_x
_atom_site_fract_y
_atom_site_fract_z
Sm1 Sm 0.3333 0.6667 0.2500
Sm2 Sm 0.6667 0.3333 0.7500
Np1 Np 0.6667 0.3333 0.2500
Np2 Np 0.3333 0.6667 0.7500
Mn1 Mn 0.0000 0.0000 0.0000
Mn2 Mn 0.0000 0.0000 0.5000
O1 O 0.6755 0.6361 0.1301
O2 O 0.9605 0.3245 0.1301
O3 O 0.3245 0.9605 0.6301
O4 O 0.0395 0.6755 0.8699
O5 O 0.3639 0.3245 0.3699
O6 O 0.9605 0.6361 0.3699
O7 O 0.6361 0.9605 0.8699
O8 O 0.6755 0.0395 0.3699
O9 O 0.0395 0.3639 0.6301
O10 O 0.3639 0.0395 0.1301
O11 O 0.6361 0.6755 0.6301
O12 O 0.3245 0.3639 0.8699
# total DFT energy (no corrections): -0.6335 Ry/atom
# total magnetization: 5.0 μB per formula unit